CeDy3Ho3: relaxed, PBE.

## Properties
- Total magnetic moment: 0.19 μB per atom
- Theoretical density: 8.1 g cm⁻³
- Calculated formation energy: 1.25 eV per formula unit

```
data_CeDy3Ho3
_symmetry_space_group_name_H-M 'R -3'
_symmetry_Int_Tables_number 148
_symmetry_space_group_name_Hall '-R 3'
_cell_length_a 6.1256
_cell_length_b 6.1256
_cell_length_c 42.4331
_cell_angle_alpha 90.00
_cell_angle_beta 90.00
_cell_angle_gamma 120.00
loop_
_atom_site_label
_atom_site_type_symbol
_atom_site_fract_x
_atom_site_fract_y
_atom_site_fract_z
_atom_site_occupancy
Ce1 Ce 0.0000 0.0000 0.1667 1
Dy1 Dy 0.0001 0.3323 0.6328 1
Ho1 Ho 0.9997 0.3330 0.1003 1
```

Ce2Dy3Ho8: relaxed, PBE.

## Properties
- Total magnetic moment: 0.17 μB per atom
- Energy above the lowest structure with this stoichiometry: 0.0000 eV/atom
- Theoretical density: 8.4 g cm⁻³
- Calculated formation energy: 2.47 eV per formula unit

```
data_Ce2Dy3Ho8
_symmetry_space_group_name_H-M 'C 1 2/c 1'
_symmetry_Int_Tables_number 15
_symmetry_space_group_name_Hall '-C 2yc'
_cell_length_a 13.3319
_cell_length_b 11.8657
_cell_length_c 12.0888
_cell_angle_alpha 90.00
_cell_angle_beta 120.14
_cell_angle_gamma 90.00
loop_
_atom_site_label
_atom_site_type_symbol
_atom_site_fract_x
_atom_site_fract_y
_atom_site_fract_z
_atom_site_occupancy
Ce1 Ce 0.0398 0.1594 0.0498 1
Dy1 Dy 0.0000 0.0465 0.7500 1
Dy2 Dy 0.0000 0.3726 0.2500 1
Dy3 Dy 0.0000 0.5000 0.0000 1
Ho1 Ho 0.1097 0.3104 0.7266 1
Ho2 Ho 0.2152 0.1546 0.3921 1
Ho3 Ho 0.2230 0.3719 0.0382 1
Ho4 Ho 0.2286 0.0520 0.6702 1
```

CeDy5Ho2: relaxed, PBE.

## Properties
- Total magnetic moment: 0.12 μB per atom
- Theoretical density: 8.5 g cm⁻³
- Calculated formation energy: 0.33 eV per formula unit

```
data_CeDy5Ho2
_symmetry_space_group_name_H-M 'P b a m'
_symmetry_Int_Tables_number 55
_symmetry_space_group_name_Hall '-P 2 2ab'
_cell_length_a 7.0736
_cell_length_b 14.1506
_cell_length_c 4.9970
_cell_angle_alpha 90.00
_cell_angle_beta 90.00
_cell_angle_gamma 90.00
loop_
_atom_site_label
_atom_site_type_symbol
_atom_site_fract_x
_atom_site_fract_y
_atom_site_fract_z
_atom_site_occupancy
Ce1 Ce 0.0000 0.0000 0.0000 1
Dy1 Dy 0.0000 0.5000 0.0000 1
Dy2 Dy 0.0012 0.2501 0.0000 1
Dy3 Dy 0.2470 0.1240 0.5000 1
Ho1 Ho 0.2454 0.8761 0.5000 1
```

CeDyHo: relaxed, PBE.

## Properties
- Total magnetic moment: 0.22 μB per atom
- Energy above the lowest structure with this stoichiometry: 0.0095 eV/atom
- Theoretical density: 8.4 g cm⁻³
- Calculated formation energy: 0.22 eV per formula unit

```
data_CeDyHo
_symmetry_space_group_name_H-M 'I 4 m m'
_symmetry_Int_Tables_number 107
_symmetry_space_group_name_Hall 'I 4 -2'
_cell_length_a 3.5130
_cell_length_b 3.5130
_cell_length_c 14.9040
_cell_angle_alpha 90.00
_cell_angle_beta 90.00
_cell_angle_gamma 90.00
loop_
_atom_site_label
_atom_site_type_symbol
_atom_site_fract_x
_atom_site_fract_y
_atom_site_fract_z
_atom_site_occupancy
Ce1 Ce 0.0000 0.0000 0.0000 1
Dy1 Dy 0.0000 0.0000 0.6639 1
Ho1 Ho 0.0000 0.0000 0.3366 1
```

CeDyHo: relaxed, PBE.

## Properties
- Total magnetic moment: 0.29 μB per atom
- Energy above the lowest structure with this stoichiometry: 0.0275 eV/atom
- Theoretical density: 8.4 g cm⁻³
- Calculated formation energy: 0.27 eV per formula unit

```
data_CeDyHo
_symmetry_space_group_name_H-M 'P 1 21/m 1'
_symmetry_Int_Tables_number 11
_symmetry_space_group_name_Hall '-P 2yb'
_cell_length_a 3.4471
_cell_length_b 5.3409
_cell_length_c 10.1288
_cell_angle_alpha 90.00
_cell_angle_beta 99.77
_cell_angle_gamma 90.00
loop_
_atom_site_label
_atom_site_type_symbol
_atom_site_fract_x
_atom_site_fract_y
_atom_site_fract_z
_atom_site_occupancy
Ce1 Ce 0.2084 0.2500 0.4179 1
Dy1 Dy 0.0407 0.2500 0.0845 1
Ho1 Ho 0.3827 0.2500 0.7631 1
```

CeDy9Ho2: relaxed, PBE.

## Properties
- Total magnetic moment: 0.08 μB per atom
- Theoretical density: 8.5 g cm⁻³
- Calculated formation energy: 0.43 eV per formula unit

```
data_CeDy9Ho2
_symmetry_space_group_name_H-M 'P 4/m m m'
_symmetry_Int_Tables_number 123
_symmetry_space_group_name_Hall '-P 4 2'
_cell_length_a 5.0027
_cell_length_b 5.0027
_cell_length_c 15.0125
_cell_angle_alpha 90.00
_cell_angle_beta 90.00
_cell_angle_gamma 90.00
loop_
_atom_site_label
_atom_site_type_symbol
_atom_site_fract_x
_atom_site_fract_y
_atom_site_fract_z
_atom_site_occupancy
Ce1 Ce 0.0000 0.0000 0.0000 1
Dy1 Dy 0.0000 0.5000 0.1659 1
Dy2 Dy 0.0000 0.5000 0.5000 1
Dy3 Dy 0.5000 0.5000 0.0000 1
Dy4 Dy 0.5000 0.5000 0.3350 1
Ho1 Ho 0.0000 0.0000 0.3328 1
```

CeDy8Ho3: relaxed, PBE.

## Properties
- Total magnetic moment: 0.14 μB per atom
- Theoretical density: 7.2 g cm⁻³
- Calculated formation energy: 9.14 eV per formula unit

```
data_CeDy8Ho3
_symmetry_space_group_name_H-M 'I 4/m m m'
_symmetry_Int_Tables_number 139
_symmetry_space_group_name_Hall '-I 4 2'
_cell_length_a 7.6341
_cell_length_b 7.6341
_cell_length_c 15.2895
_cell_angle_alpha 90.00
_cell_angle_beta 90.00
_cell_angle_gamma 90.00
loop_
_atom_site_label
_atom_site_type_symbol
_atom_site_fract_x
_atom_site_fract_y
_atom_site_fract_z
_atom_site_occupancy
Ce1 Ce 0.0000 0.0000 0.0000 1
Dy1 Dy 0.2478 0.2478 0.1239 1
Ho1 Ho 0.0000 0.0000 0.5000 1
Ho2 Ho 0.0000 0.5000 0.2500 1
```

CeDy2Ho2: relaxed, PBE.

## Properties
- Total magnetic moment: 0.22 μB per atom
- Theoretical density: 7.9 g cm⁻³
- Calculated formation energy: 2.07 eV per formula unit

```
data_CeDy2Ho2
_symmetry_space_group_name_H-M 'I 4/m m m'
_symmetry_Int_Tables_number 139
_symmetry_space_group_name_Hall '-I 4 2'
_cell_length_a 4.4740
_cell_length_b 4.4740
_cell_length_c 16.5990
_cell_angle_alpha 90.00
_cell_angle_beta 90.00
_cell_angle_gamma 90.00
loop_
_atom_site_label
_atom_site_type_symbol
_atom_site_fract_x
_atom_site_fract_y
_atom_site_fract_z
_atom_site_occupancy
Ce1 Ce 0.0000 0.0000 0.0000 1
Dy1 Dy 0.0000 0.0000 0.4061 1
Ho1 Ho 0.0000 0.5000 0.2500 1
```